! BaNpAgO6 | the Alexandria database | GGA-PBE | optimized geometry; values from VASP
&SYSTEM
  ibrav = 0, nat = 18, ntyp = 4
/
ATOMIC_SPECIES
Ba 137.33 Ba.upf
Np 237.00 Np.upf
Ag 107.87 Ag.upf
O 16.00 O.upf
CELL_PARAMETERS angstrom
5.626 0.000 0.000
-2.813 4.872 0.000
0.000 0.000 11.654
ATOMIC_POSITIONS crystal
Ba 0.000 0.000 0.000
Ba 0.000 0.000 0.500
Np 0.333 0.667 0.250
Np 0.667 0.333 0.750
Ag 0.333 0.667 0.750
Ag 0.667 0.333 0.250
O 0.029 0.385 0.150
O 0.029 0.644 0.350
O 0.356 0.385 0.350
O 0.356 0.971 0.150
O 0.385 0.029 0.650
O 0.385 0.356 0.850
O 0.615 0.644 0.150
O 0.615 0.971 0.350
O 0.644 0.029 0.850
O 0.644 0.615 0.650
O 0.971 0.356 0.650
O 0.971 0.615 0.850
! Raw formation energy: -17.1 eV per formula unit
! Magnetic moment: 2.1 μB per formula unit
! V: 17.7 A^3/atom

! BaNpAgO5 | the Alexandria database | GGA-PBE | optimized geometry; values from VASP
&SYSTEM
  ibrav = 0, nat = 16, ntyp = 4
/
ATOMIC_SPECIES
Ba 137.33 Ba.upf
Np 237.00 Np.upf
Ag 107.87 Ag.upf
O 16.00 O.upf
CELL_PARAMETERS angstrom
3.942 -5.052 0.000
3.942 5.052 0.000
-3.698 0.000 7.381
ATOMIC_POSITIONS crystal
Ba 0.072 0.928 0.750
Ba 0.928 0.072 0.250
Np 0.000 0.500 0.000
Np 0.500 0.000 0.500
Ag 0.476 0.524 0.750
Ag 0.524 0.476 0.250
O 0.164 0.278 0.060
O 0.204 0.609 0.886
O 0.205 0.795 0.250
O 0.278 0.164 0.560
O 0.391 0.796 0.614
O 0.609 0.204 0.386
O 0.722 0.836 0.440
O 0.795 0.205 0.750
O 0.796 0.391 0.114
O 0.836 0.722 0.940
! Raw formation energy: -18.0 eV per formula unit
! Magnetic moment: 0.0 μB per formula unit
! V: 18.4 A^3/atom

! Ba2NpAg2O6 | the Alexandria database | GGA-PBE | optimized geometry; values from VASP
&SYSTEM
  ibrav = 0, nat = 11, ntyp = 4
/
ATOMIC_SPECIES
Ba 137.33 Ba.upf
Np 237.00 Np.upf
Ag 107.87 Ag.upf
O 16.00 O.upf
CELL_PARAMETERS angstrom
3.263 1.884 5.506
-3.263 1.884 5.506
0.000 -3.768 5.506
ATOMIC_POSITIONS crystal
Ba 0.215 0.215 0.215
Ba 0.785 0.785 0.785
Np 0.000 0.000 0.000
Ag 0.416 0.416 0.416
Ag 0.584 0.584 0.584
O 0.200 0.778 0.778
O 0.222 0.222 0.800
O 0.222 0.800 0.222
O 0.778 0.200 0.778
O 0.778 0.778 0.200
O 0.800 0.222 0.222
! Raw formation energy: -21.9 eV per formula unit
! Magnetic moment: 1.0 μB per formula unit
! V: 18.5 A^3/atom

! Ba2NpAgO6 | the Alexandria database | GGA-PBE | optimized geometry; values from VASP
&SYSTEM
  ibrav = 0, nat = 10, ntyp = 4
/
ATOMIC_SPECIES
Ba 137.33 Ba.upf
Np 237.00 Np.upf
Ag 107.87 Ag.upf
O 16.00 O.upf
CELL_PARAMETERS angstrom
5.393 -3.051 0.000
5.393 3.051 0.000
-3.618 0.000 5.151
ATOMIC_POSITIONS crystal
Ba 0.248 0.248 0.258
Ba 0.752 0.752 0.742
Np 0.000 0.000 0.500
Ag 0.500 0.500 0.000
O 0.184 0.719 0.675
O 0.221 0.221 0.806
O 0.281 0.816 0.325
O 0.719 0.184 0.675
O 0.779 0.779 0.194
O 0.816 0.281 0.325
! Raw formation energy: -24.1 eV per formula unit
! Magnetic moment: 0.1 μB per formula unit
! V: 17.0 A^3/atom

! Ba3NpAg2O9 | the Alexandria database | GGA-PBE | optimized geometry; values from VASP
&SYSTEM
  ibrav = 0, nat = 15, ntyp = 4
/
ATOMIC_SPECIES
Ba 137.33 Ba.upf
Np 237.00 Np.upf
Ag 107.87 Ag.upf
O 16.00 O.upf
CELL_PARAMETERS angstrom
6.042 0.000 0.000
-3.021 5.232 0.000
0.000 0.000 7.530
ATOMIC_POSITIONS crystal
Ba 0.000 0.000 0.000
Ba 0.333 0.667 0.706
Ba 0.667 0.333 0.294
Np 0.000 0.000 0.500
Ag 0.333 0.667 0.166
Ag 0.667 0.333 0.834
O 0.000 0.500 0.000
O 0.157 0.315 0.343
O 0.157 0.843 0.343
O 0.315 0.157 0.657
O 0.500 0.000 0.000
O 0.500 0.500 0.000
O 0.685 0.843 0.343
O 0.843 0.157 0.657
O 0.843 0.685 0.657
! Raw formation energy: -29.4 eV per formula unit
! Magnetic moment: 0.2 μB per formula unit
! V: 15.9 A^3/atom

! Ba4Np3AgO12 | the Alexandria database | GGA-PBE | optimized geometry; values from VASP
&SYSTEM
  ibrav = 0, nat = 20, ntyp = 4
/
ATOMIC_SPECIES
Ba 137.33 Ba.upf
Np 237.00 Np.upf
Ag 107.87 Ag.upf
O 16.00 O.upf
CELL_PARAMETERS angstrom
-4.409 4.409 4.409
4.409 -4.409 4.409
4.409 4.409 -4.409
ATOMIC_POSITIONS crystal
Ba 0.000 0.000 0.500
Ba 0.000 0.500 0.000
Ba 0.500 0.000 0.000
Ba 0.500 0.500 0.500
Np 0.000 0.500 0.500
Np 0.500 0.000 0.500
Np 0.500 0.500 0.000
Ag 0.000 0.000 0.000
O 0.000 0.273 0.273
O 0.000 0.727 0.727
O 0.250 0.500 0.750
O 0.250 0.750 0.500
O 0.273 0.000 0.273
O 0.273 0.273 0.000
O 0.500 0.250 0.750
O 0.500 0.750 0.250
O 0.727 0.000 0.727
O 0.727 0.727 0.000
O 0.750 0.250 0.500
O 0.750 0.500 0.250
! Raw formation energy: -54.9 eV per formula unit
! Magnetic moment: 6.0 μB per formula unit
! V: 17.1 A^3/atom

! BaNpAg2O6 | the Alexandria database | GGA-PBE | optimized geometry; values from VASP
&SYSTEM
  ibrav = 0, nat = 10, ntyp = 4
/
ATOMIC_SPECIES
Ba 137.33 Ba.upf
Np 237.00 Np.upf
Ag 107.87 Ag.upf
O 16.00 O.upf
CELL_PARAMETERS angstrom
2.951 1.704 5.798
-2.951 1.704 5.798
0.000 -3.408 5.798
ATOMIC_POSITIONS crystal
Ba 0.000 0.000 0.000
Np 0.500 0.500 0.500
Ag 0.223 0.223 0.223
Ag 0.777 0.777 0.777
O 0.157 0.716 0.422
O 0.284 0.578 0.843
O 0.422 0.157 0.716
O 0.578 0.843 0.284
O 0.716 0.422 0.157
O 0.843 0.284 0.578
! Raw formation energy: -17.2 eV per formula unit
! Magnetic moment: 0.0 μB per formula unit
! V: 17.5 A^3/atom

! Ba4Np3AgS12 | the Alexandria database | GGA-PBE | optimized geometry; values from VASP
&SYSTEM
  ibrav = 0, nat = 20, ntyp = 4
/
ATOMIC_SPECIES
Ba 137.33 Ba.upf
Np 237.00 Np.upf
Ag 107.87 Ag.upf
S 32.06 S.upf
CELL_PARAMETERS angstrom
-5.153 5.153 5.153
5.153 -5.153 5.153
5.153 5.153 -5.153
ATOMIC_POSITIONS crystal
Ba 0.000 0.000 0.500
Ba 0.000 0.500 0.000
Ba 0.500 0.000 0.000
Ba 0.500 0.500 0.500
Np 0.000 0.500 0.500
Np 0.500 0.000 0.500
Np 0.500 0.500 0.000
Ag 0.000 0.000 0.000
S 0.000 0.257 0.257
S 0.000 0.743 0.743
S 0.250 0.500 0.750
S 0.250 0.750 0.500
S 0.257 0.000 0.257
S 0.257 0.257 0.000
S 0.500 0.250 0.750
S 0.500 0.750 0.250
S 0.743 0.000 0.743
S 0.743 0.743 0.000
S 0.750 0.250 0.500
S 0.750 0.500 0.250
! Raw formation energy: -28.6 eV per formula unit
! Magnetic moment: 6.0 μB per formula unit
! V: 27.4 A^3/atom

Please write out number 7 again, unchanged.
! BaNpAg2O6 | the Alexandria database | GGA-PBE | optimized geometry; values from VASP
&SYSTEM
  ibrav = 0, nat = 10, ntyp = 4
/
ATOMIC_SPECIES
Ba 137.33 Ba.upf
Np 237.00 Np.upf
Ag 107.87 Ag.upf
O 16.00 O.upf
CELL_PARAMETERS angstrom
2.951 1.704 5.798
-2.951 1.704 5.798
0.000 -3.408 5.798
ATOMIC_POSITIONS crystal
Ba 0.000 0.000 0.000
Np 0.500 0.500 0.500
Ag 0.223 0.223 0.223
Ag 0.777 0.777 0.777
O 0.157 0.716 0.422
O 0.284 0.578 0.843
O 0.422 0.157 0.716
O 0.578 0.843 0.284
O 0.716 0.422 0.157
O 0.843 0.284 0.578
! Raw formation energy: -17.2 eV per formula unit
! Magnetic moment: 0.0 μB per formula unit
! V: 17.5 A^3/atom